Computed, not measured: crystalline Rb2CaThSe4 at its relaxed geometry at the PBE level of DFT.

abc: 4.407 7.538 8.378
angles: 107.62 90.00 90.00
Positions (direct):
Rb 0.500 0.000 0.500
Rb 0.000 0.500 0.500
Ca 0.500 0.500 0.000
Th 0.000 0.000 0.000
Se 0.500 0.225 0.199
Se 0.500 0.775 0.801
Se 0.000 0.257 0.803
Se 0.000 0.743 0.197

Values from the calculation:
Energy relative to the elements, uncorrected = -1.687 eV per atom
DOS(E_F) = 0.00 states/eV/f.u.